Run one
First-principles (PBE) data for a relaxed structure of RbCaCd3, as listed in Alexandria via LeMat-Bulk.

The structure belongs to space group Pm-3m (No. 221); the cell edges are 6.215, 6.215 and 6.215 Å and the angles 90.00°, 90.00° and 90.00°. The asymmetric unit holds Rb at (0.000, 0.000, 0.000), Ca at (0.500, 0.500, 0.500) and Cd at (0.000, 0.000, 0.500).

Its crystal system is cubic.


Run two
First-principles (PBE) data for a relaxed structure of RbCaCd3, as listed in Alexandria via LeMat-Bulk.

The structure belongs to space group Pm-3m (No. 221); the cell edges are 6.136, 6.136 and 6.136 Å and the angles 90.00°, 90.00° and 90.00°. The asymmetric unit holds Rb at (0.000, 0.000, 0.000), Ca at (0.500, 0.500, 0.500) and Cd at (0.000, 0.500, 0.500).

Its crystal system is cubic.


Result of the stability comparison: run one is the least stable of them.


Run one
First-principles (PBE) data for a relaxed structure of CaCdRe, as listed in Alexandria via LeMat-Bulk.

The structure belongs to space group Fmm2 (No. 42); the cell edges are 3.828, 4.301 and 14.645 Å and the angles 90.00°, 90.00° and 90.00°. The asymmetric unit holds Ca at (0.000, 0.000, 0.000), Cd at (0.000, 0.000, 0.684) and Re at (0.000, 0.000, 0.338).

Its crystal system is orthorhombic.


Run two
First-principles (PBE) data for a relaxed structure of CaCdRe, as listed in Alexandria via LeMat-Bulk.

The structure belongs to space group F-43m (No. 216); the cell edges are 6.877, 6.877 and 6.877 Å and the angles 90.00°, 90.00° and 90.00°. The asymmetric unit holds Ca at (0.000, 0.000, 0.000), Cd at (0.250, 0.250, 0.750) and Re at (0.250, 0.250, 0.250).

Its crystal system is cubic.


Result of the stability comparison: run two is the least stable of them.


Run one
First-principles (PBE) data for a relaxed structure of CaCdRe, as listed in Alexandria via LeMat-Bulk.

The structure belongs to space group Imm2 (No. 44); the cell edges are 2.759, 4.712 and 9.304 Å and the angles 90.00°, 90.00° and 90.00°. The asymmetric unit holds Ca at (0.000, 0.000, 0.000), Cd at (0.000, 0.000, 0.676) and Re at (0.000, 0.000, 0.331).

Its crystal system is orthorhombic.


Run two
First-principles (PBE) data for a relaxed structure of CaCdRe, as listed in Alexandria via LeMat-Bulk.

The structure belongs to space group P3m1 (No. 156); the cell edges are 5.0596, 5.0596 and 2.7536 Å and the angles 90.00°, 90.00° and 120.00°. The asymmetric unit holds Ca at (0.0000, 0.0000, 0.0000), Cd at (0.3333, 0.6667, 0.4705) and Re at (0.6667, 0.3333, 0.5225).

Its crystal system is trigonal.


Run three
First-principles (PBE) data for a relaxed structure of CaCdRe, as listed in Alexandria via LeMat-Bulk.

The structure belongs to space group F-43m (No. 216); the cell edges are 6.807, 6.807 and 6.807 Å and the angles 90.00°, 90.00° and 90.00°. The asymmetric unit holds Ca at (0.000, 0.000, 0.000), Cd at (0.000, 0.000, 0.500) and Re at (0.250, 0.250, 0.250).

Its crystal system is cubic.


Run four
First-principles (PBE) data for a relaxed structure of CaCdRe, as listed in Alexandria via LeMat-Bulk.

The structure belongs to space group I4mm (No. 107); the cell edges are 2.868, 2.868 and 14.618 Å and the angles 90.00°, 90.00° and 90.00°. The asymmetric unit holds Ca at (0.000, 0.000, 0.000), Cd at (0.000, 0.000, 0.683) and Re at (0.000, 0.000, 0.337).

Its crystal system is tetragonal.


Result of the stability comparison: run three is the least stable of them.


Run one
First-principles (PBE) data for a relaxed structure of Ca3CdRh, as listed in Alexandria via LeMat-Bulk.

The structure belongs to space group P-1 (No. 2); the cell edges are 5.765, 6.329 and 8.852 Å and the angles 100.71°, 100.37° and 114.82°. The asymmetric unit holds Ca at (0.060, 0.180, 0.286), Ca at (0.300, 0.440, 0.736), Ca at (0.301, 0.800, 0.102), Cd at (0.339, 0.755, 0.484) and Rh at (0.236, 0.233, 0.000).

Its crystal system is triclinic.


Run two
First-principles (PBE) data for a relaxed structure of Ca3CdRh, as listed in Alexandria via LeMat-Bulk.

The structure belongs to space group Pm-3m (No. 221); the cell edges are 5.460, 5.460 and 5.460 Å and the angles 90.00°, 90.00° and 90.00°. The asymmetric unit holds Ca at (0.000, 0.000, 0.500), Cd at (0.500, 0.500, 0.500) and Rh at (0.000, 0.000, 0.000).

Its crystal system is cubic.


Result of the stability comparison: run two is the least stable of them.


Run one
First-principles (PBE) data for a relaxed structure of Ca4CdRh2, as listed in Alexandria via LeMat-Bulk.

The structure belongs to space group R-3m (No. 166, hexagonal axes); the cell edges are 4.7868, 4.7868 and 29.2642 Å and the angles 90.00°, 90.00° and 120.00°. The asymmetric unit holds Ca at (0.0000, 0.0000, 0.1086), Ca at (0.0000, 0.0000, 0.2975), Cd at (0.0000, 0.0000, 0.5000) and Rh at (0.0000, 0.0000, 0.4064).

Its crystal system is trigonal.


Run two
First-principles (PBE) data for a relaxed structure of Ca4CdRh2, as listed in Alexandria via LeMat-Bulk.

The structure belongs to space group Cmcm (No. 63); the cell edges are 5.201, 9.011 and 15.188 Å and the angles 90.00°, 90.00° and 90.00°. The asymmetric unit holds Ca at (0.000, 0.000, 0.000), Ca at (0.000, 0.333, 0.117), Ca at (0.000, 0.334, 0.750), Cd at (0.000, 0.001, 0.750) and Rh at (0.000, 0.334, 0.564).

Its crystal system is orthorhombic.


Result of the stability comparison: run two is the least stable of them.


Run one
First-principles (PBE) data for a relaxed structure of CaCd2Ru2, as listed in Alexandria via LeMat-Bulk.

The structure belongs to space group P4/mbm (No. 127); the cell edges are 7.940, 7.940 and 3.138 Å and the angles 90.00°, 90.00° and 90.00°. The asymmetric unit holds Ca at (0.000, 0.000, 0.000), Cd at (0.184, 0.316, 0.500) and Ru at (0.108, 0.608, 0.000).

Its crystal system is tetragonal.


Run two
First-principles (PBE) data for a relaxed structure of CaCd2Ru2, as listed in Alexandria via LeMat-Bulk.

The structure belongs to space group I4/mmm (No. 139); the cell edges are 3.853, 3.853 and 13.813 Å and the angles 90.00°, 90.00° and 90.00°. The asymmetric unit holds Ca at (0.000, 0.000, 0.000), Cd at (0.000, 0.000, 0.395) and Ru at (0.000, 0.500, 0.250).

Its crystal system is tetragonal.


Result of the stability comparison: run two is the least stable of them.


Run one
First-principles (PBE) data for a relaxed structure of CaCdS, as listed in Alexandria via LeMat-Bulk.

The structure belongs to space group P4/nmm (No. 129, origin choice 2); the cell edges are 4.025, 4.025 and 8.920 Å and the angles 90.00°, 90.00° and 90.00°. The asymmetric unit holds Ca at (0.250, 0.250, 0.166), Cd at (0.250, 0.250, 0.542) and S at (0.250, 0.250, 0.847).

Its crystal system is tetragonal.


Run two
First-principles (PBE) data for a relaxed structure of CaCdS, as listed in Alexandria via LeMat-Bulk.

The structure belongs to space group Cmcm (No. 63); the cell edges are 4.039, 13.073 and 5.556 Å and the angles 90.00°, 90.00° and 90.00°. The asymmetric unit holds Ca at (0.000, 0.168, 0.250), Cd at (0.000, 0.462, 0.250) and S at (0.000, 0.185, 0.750).

Its crystal system is orthorhombic.


Result of the stability comparison: run two is the least stable of them.


Run one
First-principles (PBE) data for a relaxed structure of Ca2CdSb, as listed in Alexandria via LeMat-Bulk.

The structure belongs to space group C2/m (No. 12); the cell edges are 9.982, 5.168 and 5.185 Å and the angles 90.00°, 121.16° and 90.00°. The asymmetric unit holds Ca at (0.250, 0.000, 0.250), Cd at (0.000, 0.000, 0.500) and Sb at (0.000, 0.500, 0.000).

Its crystal system is monoclinic.


Run two
First-principles (PBE) data for a relaxed structure of Ca2CdSb, as listed in Alexandria via LeMat-Bulk.

The structure belongs to space group P4mm (No. 99); the cell edges are 4.504, 4.504 and 6.361 Å and the angles 90.00°, 90.00° and 90.00°. The asymmetric unit holds Ca at (0.000, 0.000, 0.000), Ca at (0.500, 0.500, 0.402), Cd at (0.000, 0.000, 0.510) and Sb at (0.500, 0.500, 0.902).

Its crystal system is tetragonal.


Run three
First-principles (PBE) data for a relaxed structure of Ca2CdSb, as listed in Alexandria via LeMat-Bulk.

The structure belongs to space group Amm2 (No. 38); the cell edges are 4.577, 4.526 and 11.684 Å and the angles 90.00°, 90.00° and 90.00°. The asymmetric unit holds Ca at (0.000, 0.000, 0.000), Ca at (0.500, 0.000, 0.273), Cd at (0.000, 0.000, 0.724) and Sb at (0.500, 0.000, 0.552).

Its crystal system is orthorhombic.


Result of the stability comparison: run two is the least stable of them.


Run one
First-principles (PBE) data for a relaxed structure of CaCd3Sb, as listed in Alexandria via LeMat-Bulk.

The structure belongs to space group Pm-3m (No. 221); the cell edges are 5.747, 5.747 and 5.747 Å and the angles 90.00°, 90.00° and 90.00°. The asymmetric unit holds Ca at (0.000, 0.000, 0.000), Cd at (0.000, 0.000, 0.500) and Sb at (0.500, 0.500, 0.500).

Its crystal system is cubic.


Run two
First-principles (PBE) data for a relaxed structure of CaCd3Sb, as listed in Alexandria via LeMat-Bulk.

The structure belongs to space group Pm-3m (No. 221); the cell edges are 5.612, 5.612 and 5.612 Å and the angles 90.00°, 90.00° and 90.00°. The asymmetric unit holds Ca at (0.000, 0.000, 0.000), Cd at (0.000, 0.500, 0.500) and Sb at (0.500, 0.500, 0.500).

Its crystal system is cubic.


Result of the stability comparison: run one is the least stable of them.


Run one
First-principles (PBE) data for a relaxed structure of CaCd2Sb2, as listed in Alexandria via LeMat-Bulk.

The structure belongs to space group I4/mmm (No. 139); the cell edges are 5.394, 5.394 and 10.119 Å and the angles 90.00°, 90.00° and 90.00°. The asymmetric unit holds Ca at (0.000, 0.000, 0.000), Cd at (0.000, 0.000, 0.365) and Sb at (0.000, 0.500, 0.250).

Its crystal system is tetragonal.


Run two
First-principles (PBE) data for a relaxed structure of CaCd2Sb2, as listed in Alexandria via LeMat-Bulk.

The structure belongs to space group I4/mmm (No. 139); the cell edges are 4.385, 4.385 and 14.858 Å and the angles 90.00°, 90.00° and 90.00°. The asymmetric unit holds Ca at (0.000, 0.000, 0.000), Cd at (0.000, 0.500, 0.250) and Sb at (0.000, 0.000, 0.389).

Its crystal system is tetragonal.


Run three
First-principles (PBE) data for a relaxed structure of CaCd2Sb2, as listed in Alexandria via LeMat-Bulk.

The structure belongs to space group Cmcm (No. 63); the cell edges are 4.428, 26.724 and 4.451 Å and the angles 90.00°, 90.00° and 90.00°. The asymmetric unit holds Ca at (0.000, 0.157, 0.250), Cd at (0.000, 0.040, 0.750), Cd at (0.000, 0.454, 0.750), Sb at (0.000, 0.250, 0.750) and Sb at (0.000, 0.379, 0.250).

Its crystal system is orthorhombic.


Result of the stability comparison: run one is the least stable of them.


Run one
First-principles (PBE) data for a relaxed structure of CaCd2Sb2, as listed in Alexandria via LeMat-Bulk.

The structure belongs to space group P-3m1 (No. 164); the cell edges are 4.7224, 4.7224 and 7.6271 Å and the angles 90.00°, 90.00° and 120.00°. The asymmetric unit holds Ca at (0.0000, 0.0000, 0.0000), Cd at (0.3333, 0.6667, 0.6308) and Sb at (0.3333, 0.6667, 0.2351).

Its crystal system is trigonal.


Run two
First-principles (PBE) data for a relaxed structure of CaCd2Sb2, as listed in Alexandria via LeMat-Bulk.

The structure belongs to space group P4/mbm (No. 127); the cell edges are 8.393, 8.393 and 3.830 Å and the angles 90.00°, 90.00° and 90.00°. The asymmetric unit holds Ca at (0.000, 0.000, 0.000), Cd at (0.120, 0.380, 0.000) and Sb at (0.183, 0.683, 0.500).

Its crystal system is tetragonal.


Result of the stability comparison: run two is the least stable of them.